[1]
As5Rh PBE relaxed; space group = P4/mmm, No. 123; polymorph energy (0 for the lowest one) = 1.43 eV per formula unit; E = -4.898 eV/atom; density of states at the Fermi level = 2.491 states/eV per cell; formation enthalpy at 0 K = 0.202 eV/atom
1.0
-1.996 -2.314 0.635
1.731 -0.816 2.466
-5.980 6.943 6.497
As Rh
5 1
Direct
0.000 0.000 0.865
0.000 0.000 0.135
0.500 0.500 0.662
0.500 0.500 0.338
0.000 0.000 0.500
0.500 0.500 0.000

***

[2]
As2Rh PBE relaxed; space group = I4_1/amd, No. 141; E = -5.697 eV/atom; density of states at the Fermi level = 4.440 states/eV per cell; formation enthalpy at 0 K = -0.147 eV/atom
1.0
1.292 -9.970 5.946
2.504 -7.066 8.957
-3.958 8.663 -6.761
As Rh
4 2
Direct
0.566 0.566 0.000
0.184 0.684 0.500
0.434 0.434 0.000
0.316 0.816 0.500
0.000 0.000 0.000
0.750 0.250 0.500

***

[3]
As3Rh2 PBE relaxed; space group = R-3c, No. 167; E = -6.051 eV/atom; density of states at the Fermi level = 5.766 states/eV per cell; formation enthalpy at 0 K = -0.320 eV/atom
1.0
-5.091 1.759 3.514
-0.343 -1.639 6.209
0.575 4.391 4.521
As Rh
6 4
Direct
0.081 0.750 0.750
0.750 0.419 0.750
0.419 0.081 0.750
0.250 0.581 0.250
0.581 0.919 0.250
0.919 0.250 0.250
0.841 0.841 0.476
0.341 0.341 0.976
0.159 0.159 0.524
0.659 0.659 0.024

***

[4]
AsRh2 PBE relaxed; space group = C2/m, No. 12; E = -6.604 eV/atom; density of states at the Fermi level = 5.491 states/eV per cell; formation enthalpy at 0 K = -0.153 eV/atom
1.0
-4.168 -0.030 -2.745
-2.928 -2.666 -3.039
-5.884 -3.103 2.998
As Rh
2 4
Direct
0.465 0.465 0.297
0.535 0.535 0.703
0.135 0.135 0.003
0.821 0.821 0.619
0.179 0.179 0.381
0.865 0.865 0.997

***

[5]
AsRh2 PBE relaxed; space group = Cmcm, No. 63; E = -6.566 eV/atom; density of states at the Fermi level = 6.536 states/eV per cell; formation enthalpy at 0 K = -0.115 eV/atom
1.0
3.510 -0.338 -5.735
-4.724 2.489 4.100
3.087 3.042 1.710
As Rh
2 4
Direct
0.796 0.204 0.750
0.204 0.796 0.250
0.130 0.870 0.750
0.445 0.555 0.750
0.555 0.445 0.250
0.870 0.130 0.250

***

[6]
AsRh2 PBE relaxed; space group = I4/mmm, No. 139; E = -6.590 eV/atom; density of states at the Fermi level = 3.227 states/eV per cell; formation enthalpy at 0 K = -0.139 eV/atom
1.0
-0.625 4.735 2.590
0.109 1.541 5.209
2.321 -2.785 -4.047
As Rh
1 2
Direct
0.000 0.000 0.000
0.648 0.648 0.000
0.352 0.352 0.000

***

[7]
As5Rh PBE relaxed; space group = Cmmm, No. 65; polymorph energy (0 for the lowest one) = 0.00 eV per formula unit; E = -5.137 eV/atom; density of states at the Fermi level = 3.820 states/eV per cell; formation enthalpy at 0 K = -0.037 eV/atom
1.0
-3.493 1.180 5.261
3.301 -4.485 -3.203
4.189 1.305 2.488
As Rh
5 1
Direct
0.000 0.000 0.000
0.319 0.681 0.000
0.681 0.319 0.000
0.374 0.626 0.500
0.626 0.374 0.500
0.000 0.000 0.500

***

[8]
As2Rh PBE relaxed; space group = Cmcm, No. 63; E = -5.745 eV/atom; density of states at the Fermi level = 3.413 states/eV per cell; formation enthalpy at 0 K = -0.194 eV/atom
1.0
5.854 1.942 0.744
-5.940 1.555 -0.943
-0.707 0.260 4.881
As Rh
4 2
Direct
0.648 0.352 0.750
0.959 0.041 0.750
0.041 0.959 0.250
0.352 0.648 0.250
0.303 0.697 0.750
0.697 0.303 0.250

***

[9]
AsRh2 PBE relaxed; space group = I4_1/amd, No. 141; E = -6.522 eV/atom; density of states at the Fermi level = 4.524 states/eV per cell; formation enthalpy at 0 K = -0.071 eV/atom
1.0
9.976 -0.896 3.819
8.347 1.948 6.438
-9.790 -2.065 -3.848
As Rh
2 4
Direct
0.250 0.750 0.500
0.500 0.500 0.000
0.681 0.181 0.500
0.069 0.069 0.000
0.819 0.319 0.500
0.931 0.931 0.000

***

[10]
As2Rh PBE relaxed; space group = Fm-3m, No. 225; E = -5.847 eV/atom; density of states at the Fermi level = 2.344 states/eV per cell; formation enthalpy at 0 K = -0.297 eV/atom
1.0
-2.057 -0.754 3.641
-2.789 -3.197 0.242
0.927 -3.460 2.287
As Rh
2 1
Direct
0.750 0.750 0.750
0.250 0.250 0.250
0.000 0.000 0.000

***

[11]
As2Rh PBE relaxed; space group = P4/mmm, No. 123; E = -5.472 eV/atom; density of states at the Fermi level = 2.192 states/eV per cell; formation enthalpy at 0 K = 0.078 eV/atom
1.0
4.147 0.000 0.000
0.000 4.147 0.000
0.000 0.000 3.257
As Rh
2 1
Direct
0.000 0.500 0.500
0.500 0.000 0.500
0.000 0.000 0.000

***

[12]
AsRh2 PBE relaxed; space group = P4/mmm, No. 123; E = -6.560 eV/atom; density of states at the Fermi level = 1.954 states/eV per cell; formation enthalpy at 0 K = -0.109 eV/atom
1.0
-1.995 1.810 3.027
-3.172 -2.441 -0.631
1.127 -1.959 1.914
As Rh
1 2
Direct
0.000 0.000 0.000
0.000 0.500 0.500
0.500 0.000 0.500

***

[13]
As3Rh5 PBE relaxed; space group = P6_3/mcm, No. 193; E = -6.539 eV/atom; density of states at the Fermi level = 13.501 states/eV per cell; formation enthalpy at 0 K = -0.201 eV/atom
1.0
-6.862 -1.004 -1.955
2.124 -1.669 6.680
-1.216 5.084 1.657
As Rh
6 10
Direct
0.624 0.000 0.250
0.376 0.000 0.750
0.000 0.624 0.250
0.376 0.376 0.250
0.624 0.624 0.750
0.000 0.376 0.750
0.333 0.667 0.000
0.667 0.333 0.500
0.667 0.333 0.000
0.333 0.667 0.500
0.280 0.000 0.250
0.720 0.000 0.750
0.000 0.280 0.250
0.720 0.720 0.250
0.280 0.280 0.750
0.000 0.720 0.750

***

[14]
As2Rh PBE relaxed; space group = P6_3/mmc, No. 194; E = -5.206 eV/atom; density of states at the Fermi level = 8.662 states/eV per cell; formation enthalpy at 0 K = 0.344 eV/atom
1.0
-4.609 2.229 -0.264
0.576 -4.878 -1.467
-2.094 -3.176 9.734
As Rh
8 4
Direct
0.000 0.000 0.000
0.000 0.000 0.500
0.836 0.672 0.250
0.164 0.328 0.750
0.328 0.164 0.250
0.836 0.164 0.250
0.164 0.836 0.750
0.672 0.836 0.750
0.333 0.667 0.944
0.667 0.333 0.444
0.667 0.333 0.056
0.333 0.667 0.556

***

[15]
As2Rh PBE relaxed; space group = P6_3/mmc, No. 194; E = -5.456 eV/atom; density of states at the Fermi level = 4.647 states/eV per cell; formation enthalpy at 0 K = 0.094 eV/atom
1.0
-0.120 4.435 -0.879
-1.545 -1.565 3.952
5.139 0.583 2.240
As Rh
4 2
Direct
0.000 0.000 0.000
0.000 0.000 0.500
0.333 0.667 0.750
0.667 0.333 0.250
0.333 0.667 0.250
0.667 0.333 0.750

***

[16]
As2Rh PBE relaxed; space group = P-3m1, No. 164; E = -5.552 eV/atom; density of states at the Fermi level = 1.585 states/eV per cell; formation enthalpy at 0 K = -0.001 eV/atom
1.0
-1.546 -3.305 2.713
-1.152 0.057 -4.398
2.303 -1.589 -0.624
As Rh
2 1
Direct
0.667 0.333 0.110
0.333 0.667 0.890
0.000 0.000 0.000

***

[17]
As2Rh PBE relaxed; space group = Cm, No. 8; E = -5.725 eV/atom; density of states at the Fermi level = 2.341 states/eV per cell; formation enthalpy at 0 K = -0.174 eV/atom
1.0
1.763 5.505 -0.023
-1.763 5.505 -0.023
0.000 0.664 6.058
As Rh
4 2
Direct
0.048 0.048 0.138
0.579 0.579 0.675
0.347 0.347 0.155
0.319 0.319 0.748
0.171 0.171 0.439
0.702 0.702 0.012

***

[18]
As5Rh4 PBE relaxed; space group = I4/mmm, No. 139; polymorph energy (0 for the lowest one) = 1.44 eV per formula unit; E = -5.752 eV/atom; density of states at the Fermi level = 4.910 states/eV per cell; formation enthalpy at 0 K = 0.099 eV/atom
1.0
5.630 -2.165 0.912
-5.185 -0.199 3.207
-1.640 -3.594 -4.647
As Rh
5 4
Direct
0.000 0.000 0.000
0.679 0.321 0.000
0.321 0.679 0.000
0.321 0.321 0.643
0.679 0.679 0.357
0.696 0.000 0.696
0.304 0.000 0.304
0.000 0.304 0.304
0.000 0.696 0.696

***

[19]
As5Rh PBE relaxed; space group = P6/mmm, No. 191; polymorph energy (0 for the lowest one) = 4.03 eV per formula unit; E = -4.466 eV/atom; density of states at the Fermi level = 3.746 states/eV per cell; formation enthalpy at 0 K = 0.634 eV/atom
1.0
1.577 4.693 0.606
-3.518 -1.032 -3.382
-4.016 0.844 3.919
As Rh
5 1
Direct
0.333 0.667 0.000
0.667 0.333 0.000
0.500 0.000 0.500
0.000 0.500 0.500
0.500 0.500 0.500
0.000 0.000 0.000

***

[20]
As5Rh PBE relaxed; space group = Cm, No. 8; polymorph energy (0 for the lowest one) = 0.27 eV per formula unit; E = -5.092 eV/atom; density of states at the Fermi level = 2.007 states/eV per cell; formation enthalpy at 0 K = 0.008 eV/atom
1.0
1.773 6.067 0.041
-1.773 6.067 0.041
0.000 2.115 6.306
As Rh
5 1
Direct
0.055 0.055 0.995
0.699 0.699 0.688
0.300 0.300 0.235
0.335 0.335 0.826
0.083 0.083 0.359
0.694 0.694 0.064

***

[21]
AsRh2 PBE relaxed; space group = P-3m1, No. 164; E = -6.672 eV/atom; density of states at the Fermi level = 3.704 states/eV per cell; formation enthalpy at 0 K = -0.221 eV/atom
1.0
-3.389 -0.304 -2.256
0.596 -2.540 3.140
-1.449 2.014 1.904
As Rh
1 2
Direct
0.000 0.000 0.000
0.667 0.333 0.741
0.333 0.667 0.259

***

[22]
AsRh2 PBE relaxed; space group = P-62m, No. 189; E = -6.786 eV/atom; density of states at the Fermi level = 10.649 states/eV per cell; formation enthalpy at 0 K = -0.335 eV/atom
1.0
3.332 5.387 -0.540
-5.902 -0.335 -2.338
-1.397 1.201 3.355
As Rh
3 6
Direct
0.333 0.667 0.000
0.667 0.333 0.000
0.000 0.000 0.500
0.262 0.000 0.000
0.000 0.262 0.000
0.738 0.738 0.000
0.603 0.000 0.500
0.000 0.603 0.500
0.397 0.397 0.500

***

[23]
As7Rh12 PBE relaxed; space group = P-3, No. 147; E = -6.772 eV/atom; density of states at the Fermi level = 14.571 states/eV per cell; formation enthalpy at 0 K = -0.416 eV/atom
1.0
4.691 -8.125 0.000
4.691 8.125 0.000
0.000 0.000 3.723
As Rh
7 12
Direct
0.000 0.000 0.506
0.285 0.838 0.755
0.162 0.446 0.755
0.554 0.715 0.755
0.715 0.162 0.259
0.838 0.554 0.259
0.446 0.285 0.259
0.988 0.754 0.759
0.246 0.234 0.759
0.766 0.012 0.759
0.012 0.246 0.255
0.754 0.766 0.255
0.234 0.988 0.255
0.515 0.136 0.761
0.864 0.380 0.761
0.620 0.485 0.761
0.485 0.865 0.253
0.135 0.620 0.253
0.380 0.515 0.253

***

[24]
As4Rh PBE relaxed; space group = Pm-3m, No. 221; polymorph energy (0 for the lowest one) = 4.14 eV per formula unit; E = -4.619 eV/atom; density of states at the Fermi level = 5.157 states/eV per cell; formation enthalpy at 0 K = 0.571 eV/atom
1.0
4.801 0.000 0.000
0.000 4.801 0.000
0.000 0.000 4.801
As Rh
4 1
Direct
0.000 0.000 0.000
0.500 0.000 0.500
0.000 0.500 0.500
0.500 0.500 0.000
0.500 0.500 0.500

***

[25]
As2Rh PBE relaxed; space group = P2_1/c, No. 14; E = -6.061 eV/atom; density of states at the Fermi level = 0.080 states/eV per cell; formation enthalpy at 0 K = -0.511 eV/atom
1.0
6.156 0.000 0.000
0.000 6.138 -0.003
0.000 2.561 5.683
As Rh
8 4
Direct
0.370 0.661 0.183
0.870 0.339 0.317
0.630 0.339 0.817
0.130 0.661 0.683
0.629 0.844 0.371
0.129 0.156 0.129
0.371 0.156 0.629
0.871 0.844 0.871
0.001 0.728 0.290
0.501 0.272 0.210
0.999 0.272 0.710
0.499 0.728 0.790

***

[26]
As4Rh PBE relaxed; space group = Im-3m, No. 229; polymorph energy (0 for the lowest one) = 2.55 eV per formula unit; E = -4.936 eV/atom; density of states at the Fermi level = 3.053 states/eV per cell; formation enthalpy at 0 K = 0.254 eV/atom
1.0
-3.282 -3.135 -2.382
-0.228 -0.809 5.056
-1.249 4.868 -1.010
As Rh
4 1
Direct
0.500 0.000 0.000
0.500 0.500 0.500
0.000 0.500 0.000
0.000 0.000 0.500
0.000 0.000 0.000